Record 1
## BaTe2Os (PBE)

Data for an optimized crystal structure of BaTe2Os.

Summary:
The value obtained for the raw formation energy is -0.311 eV per atom. For the energy, the calculation gives -0.3800 Ry per atom. As for the calculated volume: 122.0 Å³/cell. The calculation puts the density of states at the Fermi level at 0.9 states/eV per cell. Its energy above the lowest structure with this stoichiometry is 132 meV per atom.

Cell lengths 4.168, 5.562, 5.558 Å; angles 71.21, 90.00, 90.00 degrees
Fractional coordinates of all 4 atoms:
1 Ba 0.500 0.250 0.250
2 Os 0.500 0.750 0.750
3 Te 0.000 0.930 0.930
4 Te 0.000 0.570 0.570

=====

Record 2
## CaNiBr (PBE)

Data for an optimized crystal structure of CaNiBr.

Summary:
The value obtained for the raw formation energy is -0.991 eV per atom. For the energy, the calculation gives -0.3045 Ry per atom. As for the calculated volume: 314.4 Å³/cell. The calculation puts the density of states at the Fermi level at 6.1 states/eV per cell.

Cell lengths 11.446, 4.013, 6.978 Å; angles 90.00, 101.23, 90.00 degrees
Fractional coordinates of all 12 atoms:
1 Ni 0.999 0.000 0.666
2 Ni 0.001 0.000 0.334
3 Ni 0.999 0.500 0.166
4 Ni 0.001 0.500 0.834
5 Ca 0.181 0.000 0.058
6 Ca 0.819 0.000 0.942
7 Ca 0.181 0.500 0.558
8 Ca 0.819 0.500 0.442
9 Br 0.668 0.000 0.227
10 Br 0.332 0.000 0.773
11 Br 0.668 0.500 0.727
12 Br 0.332 0.500 0.273

=====

Record 3
## YHfZr2 (PBE)

Data for an optimized crystal structure of YHfZr2.

Summary:
For the energy, the calculation gives -0.6087 Ry per atom. As for the calculated volume: 99.2 Å³/cell. The calculation puts the density of states at the Fermi level at 5.8 states/eV per cell. Its energy above the lowest structure with this stoichiometry is 0 meV per atom.

Cell lengths 3.279, 3.279, 10.825 Å; angles 81.29, 81.29, 60.00 degrees
Fractional coordinates of all 4 atoms:
1 Y 0.500 0.500 0.501
2 Hf 0.667 0.667 0.000
3 Zr 0.079 0.079 0.764
4 Zr 0.255 0.255 0.235

=====

Repeat the second record exactly.
## CaNiBr (PBE)

Data for an optimized crystal structure of CaNiBr.

Summary:
The value obtained for the raw formation energy is -0.991 eV per atom. For the energy, the calculation gives -0.3045 Ry per atom. As for the calculated volume: 314.4 Å³/cell. The calculation puts the density of states at the Fermi level at 6.1 states/eV per cell.

Cell lengths 11.446, 4.013, 6.978 Å; angles 90.00, 101.23, 90.00 degrees
Fractional coordinates of all 12 atoms:
1 Ni 0.999 0.000 0.666
2 Ni 0.001 0.000 0.334
3 Ni 0.999 0.500 0.166
4 Ni 0.001 0.500 0.834
5 Ca 0.181 0.000 0.058
6 Ca 0.819 0.000 0.942
7 Ca 0.181 0.500 0.558
8 Ca 0.819 0.500 0.442
9 Br 0.668 0.000 0.227
10 Br 0.332 0.000 0.773
11 Br 0.668 0.500 0.727
12 Br 0.332 0.500 0.273

=====

Q: What is the calculated volume in the first record?
A: 122.0 Å³/cell

=====

Q: Which value of calculated volume does entry 2 give?
A: 314.4 Å³/cell

=====

Q: The highest energy belongs to which entry?
A: CaNiBr